This record from Alexandria via LeMat-Bulk describes a relaxed structure of CaHg6Pb12. The functional is PBE.

CIF file:
```
data_CaHg6Pb12
_symmetry_space_group_name_H-M 'P 1'
_symmetry_Int_Tables_number 1
_cell_length_a 8.279
_cell_length_b 8.279
_cell_length_c 8.279
_cell_angle_alpha 88.05
_cell_angle_beta 88.05
_cell_angle_gamma 88.05
loop_
_symmetry_equiv_pos_as_xyz
'x,y,z'
loop_
_atom_site_label
_atom_site_type_symbol
_atom_site_fract_x
_atom_site_fract_y
_atom_site_fract_z
Ca1 Ca 0.000 0.000 0.000
Hg1 Hg 0.122 0.738 0.261
Hg2 Hg 0.261 0.122 0.738
Hg3 Hg 0.262 0.739 0.878
Hg4 Hg 0.738 0.261 0.122
Hg5 Hg 0.739 0.878 0.262
Hg6 Hg 0.878 0.262 0.739
Pb1 Pb 0.030 0.161 0.378
Pb2 Pb 0.161 0.378 0.030
Pb3 Pb 0.199 0.473 0.553
Pb4 Pb 0.378 0.030 0.161
Pb5 Pb 0.447 0.801 0.527
Pb6 Pb 0.473 0.553 0.199
Pb7 Pb 0.527 0.447 0.801
Pb8 Pb 0.553 0.199 0.473
Pb9 Pb 0.622 0.970 0.839
Pb10 Pb 0.801 0.527 0.447
Pb11 Pb 0.839 0.622 0.970
Pb12 Pb 0.970 0.839 0.622
```

Properties
Total moment in Bohr magnetons per cell: 0.0
Formation enthalpy at 0 K in eV/atom: -0.011
Crystal system: trigonal